one.
Below is crystalline Pm7HoTm12 at its relaxed geometry, with properties calculated at the PBE level.

## Properties
total magnetization = 0.0 μB per formula unit
N(E_F) = 27.78 states/eV/f.u.

Lattice parameters (Å, degrees): 9.6777 9.6777 9.6777 109.47 109.47 109.47
With the nearest neighbours (Å) after each atom.
Positions (direct):
1 Pm 0.5000 0.5000 0.0000  12 Tm 3.95-4.01
2 Pm 0.0000 0.5000 0.5000  12 Tm 3.95-4.01
3 Pm 0.5000 0.0000 0.5000  12 Tm 3.95-4.01
4 Pm 0.5000 0.5000 0.5000  6 Tm 2.79
5 Pm 0.0000 0.0000 0.5000  6 Tm 2.79
6 Pm 0.5000 0.0000 0.0000  6 Tm 2.79
7 Pm 0.0000 0.5000 0.0000  6 Tm 2.79
8 Ho 0.0000 0.0000 0.0000  12 Tm 3.89
9 Tm 0.5080 0.7540 0.7540  2 Pm 2.79
10 Tm 0.0000 0.7540 0.2460  2 Pm 2.79
11 Tm 0.4920 0.2460 0.2460  2 Pm 2.79
12 Tm 0.0000 0.2460 0.7540  2 Pm 2.79
13 Tm 0.7540 0.0000 0.2460  2 Pm 2.79
14 Tm 0.7540 0.5080 0.7540  2 Pm 2.79
15 Tm 0.2460 0.0000 0.7540  2 Pm 2.79
16 Tm 0.2460 0.4920 0.2460  2 Pm 2.79
17 Tm 0.7540 0.7540 0.5080  2 Pm 2.79
18 Tm 0.2460 0.2460 0.4920  2 Pm 2.79
19 Tm 0.7540 0.2460 0.0000  2 Pm 2.79
20 Tm 0.2460 0.7540 0.0000  2 Pm 2.79

=====

two.
Below is crystalline Pm7HoTm12 at its relaxed geometry, with properties calculated at the PBE level.

## Properties
total magnetization = 0.0 μB per formula unit
N(E_F) = 35.50 states/eV/f.u.

Lattice parameters (Å, degrees): 8.7131 8.7131 8.7131 85.87 85.87 85.87
With the nearest neighbours (Å) after each atom.
Positions (direct):
1 Pm 0.8443 0.6016 0.9241  7 Tm 3.42-3.82, 3 Pm 3.43-3.45
2 Pm 0.3984 0.0759 0.1557  7 Tm 3.42-3.82, 3 Pm 3.43-3.45
3 Pm 0.0759 0.1557 0.3984  7 Tm 3.42-3.82, 3 Pm 3.43-3.45
4 Pm 0.5000 0.5000 0.5000  6 Tm 3.27
5 Pm 0.9241 0.8443 0.6016  7 Tm 3.42-3.82, 3 Pm 3.43-3.45
6 Pm 0.6016 0.9241 0.8443  7 Tm 3.42-3.82, 3 Pm 3.43-3.45
7 Pm 0.1557 0.3984 0.0759  7 Tm 3.42-3.82, 3 Pm 3.43-3.45
8 Ho 0.0000 0.0000 0.0000  6 Tm 3.38
9 Tm 0.8548 0.2555 0.7281  4 Tm 3.26-3.58, 1 Ho 3.38, 2 Pm 3.47-3.56
10 Tm 0.7445 0.2719 0.1452  4 Tm 3.26-3.58, 1 Ho 3.38, 2 Pm 3.47-3.56
11 Tm 0.6180 0.1349 0.4973  5 Tm 3.23-3.58, 2 Pm 3.27-3.42
12 Tm 0.8651 0.5027 0.3820  5 Tm 3.23-3.58, 2 Pm 3.27-3.42
13 Tm 0.2719 0.1452 0.7445  4 Tm 3.26-3.58, 1 Ho 3.38, 2 Pm 3.47-3.56
14 Tm 0.5027 0.3820 0.8651  5 Tm 3.23-3.58, 2 Pm 3.27-3.42
15 Tm 0.4973 0.6180 0.1349  5 Tm 3.23-3.58, 2 Pm 3.27-3.42
16 Tm 0.7281 0.8548 0.2555  4 Tm 3.26-3.58, 1 Ho 3.38, 2 Pm 3.47-3.56
17 Tm 0.1349 0.4973 0.6180  5 Tm 3.23-3.58, 2 Pm 3.27-3.42
18 Tm 0.3820 0.8651 0.5027  5 Tm 3.23-3.58, 2 Pm 3.27-3.42
19 Tm 0.2555 0.7281 0.8548  4 Tm 3.26-3.58, 1 Ho 3.38, 2 Pm 3.47-3.56
20 Tm 0.1452 0.7445 0.2719  4 Tm 3.26-3.58, 1 Ho 3.38, 2 Pm 3.47-3.56

=====

So which one wins? Going from most stable to least: two, one.

=====

one.
Below is crystalline PmHo5Tm2 at its relaxed geometry, with properties calculated at the PBE level.

## Properties
total magnetization = 0.0 μB per formula unit
N(E_F) = 12.29 states/eV/f.u.

Lattice parameters (Å, degrees): 5.5994 8.5774 11.3765 90.08 90.00 109.08
With the nearest neighbours (Å) after each atom.
Positions (direct):
1 Pm 0.7730 0.5459 0.7497  6 Ho 3.35-3.59, 4 Tm 3.54
2 Pm 0.2270 0.4541 0.2503  6 Ho 3.35-3.59, 4 Tm 3.54
3 Ho 0.9553 0.9104 0.8883  2 Ho 2.92-3.13
4 Ho 0.9571 0.9140 0.6131  2 Ho 2.93-3.13
5 Ho 0.4124 0.8245 0.4229  7 Ho 3.34-3.73, 3 Tm 3.46-3.69, 1 Pm 3.59
6 Ho 0.4128 0.8254 0.0789  7 Ho 3.35-3.75, 3 Tm 3.47-3.70, 1 Pm 3.59
7 Ho 0.6040 0.2083 0.2500  8 Ho 3.35-3.75, 2 Pm 3.44, 2 Tm 3.54
8 Ho 0.3960 0.7917 0.7500  8 Ho 3.35-3.75, 2 Pm 3.44, 2 Tm 3.54
9 Ho 0.5876 0.1755 0.5771  7 Ho 3.34-3.73, 3 Tm 3.46-3.69, 1 Pm 3.59
10 Ho 0.5872 0.1746 0.9211  7 Ho 3.35-3.75, 3 Tm 3.47-3.70, 1 Pm 3.59
11 Ho 0.0447 0.0896 0.1117  2 Ho 2.92-3.13
12 Ho 0.0429 0.0860 0.3869  2 Ho 2.93-3.13
13 Tm 0.7869 0.5738 0.4208  5 Ho 3.46-3.69, 2 Tm 3.54, 3 Pm 3.54-3.75
14 Tm 0.7865 0.5729 0.0796  5 Ho 3.47-3.70, 3 Tm 3.54-3.88, 3 Pm 3.54-3.76
15 Tm 0.2131 0.4262 0.5792  5 Ho 3.46-3.69, 2 Tm 3.54, 3 Pm 3.54-3.75
16 Tm 0.2135 0.4271 0.9204  5 Ho 3.47-3.70, 3 Tm 3.54-3.88, 3 Pm 3.54-3.76

=====

two.
Below is crystalline PmHo5Tm2 at its relaxed geometry, with properties calculated at the PBE level.

## Properties
total magnetization = 0.0 μB per formula unit
N(E_F) = 9.37 states/eV/f.u.

Lattice parameters (Å, degrees): 4.9816 7.0622 14.1280 90.00 90.00 90.00
With the nearest neighbours (Å) after each atom.
Positions (direct):
1 Pm 0.0000 0.0000 0.5000  8 Ho 3.53-3.54, 4 Tm 3.53
2 Pm 0.0000 0.5000 0.0000  8 Ho 3.53-3.54, 4 Tm 3.53
3 Ho 0.0000 0.0000 0.0000  6 Ho 3.52-3.53, 4 Tm 3.53, 2 Pm 3.53
4 Ho 0.0000 0.5000 0.5000  6 Ho 3.52-3.53, 4 Tm 3.53, 2 Pm 3.53
5 Ho 0.0000 0.4995 0.7491  7 Ho 3.51-3.53, 4 Tm 3.51-3.53, 1 Pm 3.54
6 Ho 0.0000 0.5005 0.2509  7 Ho 3.51-3.53, 4 Tm 3.51-3.53, 1 Pm 3.54
7 Ho 0.0000 0.0005 0.2491  7 Ho 3.51-3.53, 4 Tm 3.51-3.53, 1 Pm 3.54
8 Ho 0.0000 0.9995 0.7509  7 Ho 3.51-3.53, 4 Tm 3.51-3.53, 1 Pm 3.54
9 Ho 0.5000 0.2491 0.8741  4 Tm 3.51-3.55, 6 Ho 3.51-3.53, 2 Pm 3.54
10 Ho 0.5000 0.7509 0.1259  4 Tm 3.51-3.55, 6 Ho 3.51-3.53, 2 Pm 3.54
11 Ho 0.5000 0.2509 0.3741  4 Tm 3.51-3.55, 6 Ho 3.51-3.53, 2 Pm 3.54
12 Ho 0.5000 0.7491 0.6259  4 Tm 3.51-3.55, 6 Ho 3.51-3.53, 2 Pm 3.54
13 Tm 0.5000 0.2502 0.6256  10 Ho 3.51-3.55, 2 Pm 3.53
14 Tm 0.5000 0.7498 0.3744  10 Ho 3.51-3.55, 2 Pm 3.53
15 Tm 0.5000 0.2498 0.1256  10 Ho 3.51-3.55, 2 Pm 3.53
16 Tm 0.5000 0.7502 0.8744  10 Ho 3.51-3.55, 2 Pm 3.53

=====

So which one wins? Going from most stable to least: two, one.

=====

one.
Below is crystalline Pm6HoTm3 at its relaxed geometry, with properties calculated at the PBE level.

## Properties
total magnetization = 0.0 μB per formula unit
N(E_F) = 13.89 states/eV/f.u.

Lattice parameters (Å, degrees): 6.2815 11.0705 11.0705 120.74 90.00 90.00
With the nearest neighbours (Å) after each atom.
Positions (direct):
1 Pm 0.0451 0.7125 0.6258  4 Tm 3.49-3.71, 5 Pm 3.51-3.73
2 Pm 0.5451 0.6258 0.7125  4 Tm 3.49-3.71, 5 Pm 3.51-3.73
3 Pm 0.3542 0.5192 0.9420  5 Pm 3.14-3.51, 1 Tm 3.27, 2 Ho 3.38-3.43
4 Pm 0.8542 0.9420 0.5192  5 Pm 3.14-3.51, 1 Tm 3.27, 2 Ho 3.38-3.43
5 Pm 0.4019 0.9627 0.0373  1 Ho 3.34, 4 Tm 3.44-3.58, 4 Pm 3.45-3.73
6 Pm 0.6506 0.2801 0.7199  4 Pm 3.14-3.48, 1 Ho 3.33, 1 Tm 3.39
7 Pm 0.1506 0.7199 0.2801  4 Pm 3.14-3.48, 1 Ho 3.33, 1 Tm 3.39
8 Pm 0.9019 0.0373 0.9627  1 Ho 3.34, 4 Tm 3.44-3.58, 4 Pm 3.45-3.73
9 Pm 0.3542 0.0580 0.4808  5 Pm 3.14-3.51, 1 Tm 3.27, 2 Ho 3.38-3.43
10 Pm 0.8542 0.4808 0.0580  5 Pm 3.14-3.51, 1 Tm 3.27, 2 Ho 3.38-3.43
11 Pm 0.0451 0.3742 0.2875  4 Tm 3.49-3.71, 5 Pm 3.51-3.73
12 Pm 0.5451 0.2875 0.3742  4 Tm 3.49-3.71, 5 Pm 3.51-3.73
13 Ho 0.1141 0.1966 0.8034  3 Tm 3.30-3.66, 6 Pm 3.33-3.43
14 Ho 0.6141 0.8034 0.1966  3 Tm 3.30-3.66, 6 Pm 3.33-3.43
15 Tm 0.4702 0.9463 0.7204  6 Pm 3.27-3.58, 1 Ho 3.30, 1 Tm 3.65
16 Tm 0.9702 0.7204 0.9463  6 Pm 3.27-3.58, 1 Ho 3.30, 1 Tm 3.65
17 Tm 0.0798 0.3866 0.6134  7 Pm 3.39-3.71, 1 Ho 3.66, 2 Tm 3.71
18 Tm 0.5798 0.6134 0.3866  7 Pm 3.39-3.71, 1 Ho 3.66, 2 Tm 3.71
19 Tm 0.9702 0.0537 0.2796  6 Pm 3.27-3.58, 1 Ho 3.30, 1 Tm 3.65
20 Tm 0.4702 0.2796 0.0537  6 Pm 3.27-3.58, 1 Ho 3.30, 1 Tm 3.65

=====

two.
Below is crystalline Pm6HoTm3 at its relaxed geometry, with properties calculated at the PBE level.

## Properties
total magnetization = 0.0 μB per formula unit
N(E_F) = 15.80 states/eV/f.u.

Lattice parameters (Å, degrees): 6.3954 11.6773 11.6773 130.60 90.00 90.00
With the nearest neighbours (Å) after each atom.
Positions (direct):
1 Pm 0.0712 0.7400 0.6203  3 Tm 3.37-3.56, 4 Pm 3.52-3.75
2 Pm 0.5712 0.6203 0.7400  3 Tm 3.37-3.56, 4 Pm 3.52-3.75
3 Pm 0.3225 0.4554 0.8947  2 Tm 3.30-3.47, 3 Pm 3.42-3.61, 2 Ho 3.64-3.67
4 Pm 0.8225 0.8947 0.4554  2 Tm 3.30-3.47, 3 Pm 3.42-3.61, 2 Ho 3.64-3.67
5 Pm 0.3142 0.9839 0.0161  4 Pm 3.27-3.65, 1 Ho 3.28, 4 Tm 3.50-3.60
6 Pm 0.7946 0.3006 0.6994  1 Tm 3.16, 1 Ho 3.33, 2 Pm 3.50
7 Pm 0.2946 0.6994 0.3006  1 Tm 3.16, 1 Ho 3.33, 2 Pm 3.50
8 Pm 0.8142 0.0161 0.9839  4 Pm 3.27-3.65, 1 Ho 3.28, 4 Tm 3.50-3.60
9 Pm 0.3225 0.1053 0.5446  2 Tm 3.30-3.47, 3 Pm 3.42-3.61, 2 Ho 3.64-3.67
10 Pm 0.8225 0.5446 0.1053  2 Tm 3.30-3.47, 3 Pm 3.42-3.61, 2 Ho 3.64-3.67
11 Pm 0.0712 0.3797 0.2600  3 Tm 3.37-3.56, 4 Pm 3.52-3.75
12 Pm 0.5712 0.2600 0.3797  3 Tm 3.37-3.56, 4 Pm 3.52-3.75
13 Ho 0.0152 0.1583 0.8417  4 Pm 3.28-3.64, 2 Tm 3.53
14 Ho 0.5152 0.8417 0.1583  4 Pm 3.28-3.64, 2 Tm 3.53
15 Tm 0.4913 0.9572 0.7071  2 Tm 3.28-3.44, 5 Pm 3.30-3.60, 1 Ho 3.53
16 Tm 0.9913 0.7071 0.9572  2 Tm 3.28-3.44, 5 Pm 3.30-3.60, 1 Ho 3.53
17 Tm 0.0914 0.4194 0.5806  3 Pm 3.16-3.46, 2 Tm 3.44
18 Tm 0.5914 0.5806 0.4194  3 Pm 3.16-3.46, 2 Tm 3.44
19 Tm 0.9913 0.0428 0.2929  2 Tm 3.28-3.44, 5 Pm 3.30-3.60, 1 Ho 3.53
20 Tm 0.4913 0.2929 0.0428  2 Tm 3.28-3.44, 5 Pm 3.30-3.60, 1 Ho 3.53

=====

So which one wins? Going from most stable to least: two, one.

=====

one.
Below is crystalline Pm4HoTm6 at its relaxed geometry, with properties calculated at the PBE level.

## Properties
total magnetization = 0.0 μB per formula unit
N(E_F) = 13.30 states/eV/f.u.

Lattice parameters (Å, degrees): 9.6452 9.6452 9.6452 57.84 140.01 140.01
With the nearest neighbours (Å) after each atom.
Positions (direct):
1 Pm 0.0000 0.6358 0.0139  5 Tm 3.37-3.58, 1 Ho 3.44, 1 Pm 3.53
2 Pm 0.3781 0.3642 0.3642  5 Tm 3.37-3.58, 1 Ho 3.44, 1 Pm 3.53
3 Pm 0.0000 0.0139 0.6358  5 Tm 3.37-3.58, 1 Ho 3.44, 1 Pm 3.53
4 Pm 0.6219 0.9861 0.9861  5 Tm 3.37-3.58, 1 Ho 3.44, 1 Pm 3.53
5 Ho 0.0000 0.0000 0.0000  8 Tm 3.30-3.67, 4 Pm 3.44
6 Tm 0.0000 0.8036 0.4470  3 Tm 3.22-3.33, 5 Pm 3.37-3.58
7 Tm 0.0000 0.4470 0.8036  3 Tm 3.22-3.33, 5 Pm 3.37-3.58
8 Tm 0.3566 0.5530 0.5530  3 Tm 3.22-3.33, 5 Pm 3.37-3.58
9 Tm 0.5000 0.5000 0.0000  4 Tm 3.22, 2 Ho 3.30
10 Tm 0.6434 0.1964 0.1964  3 Tm 3.22-3.33, 5 Pm 3.37-3.58
11 Tm 0.5000 0.0000 0.5000  4 Tm 3.22, 2 Ho 3.30

=====

two.
Below is crystalline Pm4HoTm6 at its relaxed geometry, with properties calculated at the PBE level.

## Properties
total magnetization = 0.0 μB per formula unit
N(E_F) = 13.62 states/eV/f.u.

Lattice parameters (Å, degrees): 7.6461 7.6461 8.4584 116.87 116.87 90.00
With the nearest neighbours (Å) after each atom.
Positions (direct):
1 Pm 0.0987 0.7485 0.8471  3 Tm 2.99-3.24, 2 Pm 3.34
2 Pm 0.9013 0.9013 0.1529  3 Tm 2.99-3.24, 2 Pm 3.34
3 Pm 0.7485 0.0987 0.8471  3 Tm 2.99-3.24, 2 Pm 3.34
4 Pm 0.2515 0.2515 0.1529  3 Tm 2.99-3.24, 2 Pm 3.34
5 Ho 0.5000 0.5000 0.0000  8 Tm 3.54-3.82, 4 Pm 3.65
6 Tm 0.9258 0.4374 0.3632  4 Pm 3.24-3.62, 1 Ho 3.54, 2 Tm 3.59
7 Tm 0.4374 0.9258 0.3632  4 Pm 3.24-3.62, 1 Ho 3.54, 2 Tm 3.59
8 Tm 0.5626 0.5626 0.6368  4 Pm 3.24-3.62, 1 Ho 3.54, 2 Tm 3.59
9 Tm 0.0000 0.5000 0.0000  4 Pm 2.99
10 Tm 0.0742 0.0742 0.6368  4 Pm 3.24-3.62, 1 Ho 3.54, 2 Tm 3.59
11 Tm 0.5000 0.0000 0.0000  4 Pm 2.99

=====

So which one wins? Going from most stable to least: one, two.